Density functional theory data (PBE) for a relaxed structure of Ca3Al3Au2.

The structure in CIF format:
```
data_Ca3Al3Au2
_space_group_name_H-M_alt 'P n m a'
_space_group_IT_number 62
_cell_length_a 8.290
_cell_length_b 15.559
_cell_length_c 5.877
_cell_angle_alpha 90.00
_cell_angle_beta 90.00
_cell_angle_gamma 90.00
loop_
_space_group_symop_operation_xyz
'x,y,z'
'-x,-y,-z'
'-x+1/2,-y,z+1/2'
'x+1/2,y,-z+1/2'
'x+1/2,-y+1/2,-z+1/2'
'-x+1/2,y+1/2,z+1/2'
'-x,y+1/2,-z'
'x,-y+1/2,z'
loop_
_atom_site_label
_atom_site_type_symbol
_atom_site_fract_x
_atom_site_fract_y
_atom_site_fract_z
Ca1 Ca 0.040 0.110 0.115
Ca2 Ca 0.186 0.250 0.618
Al1 Al 0.160 0.750 0.610
Al2 Al 0.182 0.036 0.615
Au1 Au 0.104 0.606 0.384
```

Properties
- Formation energy: -530 meV per atom
- Spin magnetization: 0.00 μB per formula unit
- Fermi-level density of states: 20.81 states/eV per cell
- Total energy: -3.5034 eV/atom

Density functional theory data (PBE) for a relaxed structure of CaAl2Au2.

The structure in CIF format:
```
data_CaAl2Au2
_space_group_name_H-M_alt 'I 4/m m m'
_space_group_IT_number 139
_space_group_name_Hall '-I 4 2'
_cell_length_a 4.224
_cell_length_b 4.224
_cell_length_c 11.624
_cell_angle_alpha 90.00
_cell_angle_beta 90.00
_cell_angle_gamma 90.00
loop_
_atom_site_label
_atom_site_type_symbol
_atom_site_fract_x
_atom_site_fract_y
_atom_site_fract_z
Ca1 Ca 0.000 0.000 0.000
Al1 Al 0.000 0.500 0.250
Au1 Au 0.000 0.000 0.379
```

Properties
- Formation energy: -641 meV per atom
- Spin magnetization: 0.00 μB per formula unit
- Fermi-level density of states: 5.08 states/eV per cell
- Total energy: -3.8492 eV/atom